1.
The following is a DFT calculation (PBE) of crystalline CaAl2Os at its relaxed geometry.

Cell lengths 3.1362, 3.1363, 7.5054 Å; angles 90.00, 90.00, 90.00 degrees
Last column: nearest neighbours and their distance in Å.
Atoms (fractional coordinates):
1 Ca 0.5000 0.5000 0.2500  4 Ca 3.14, 8 Al 3.25
2 Os 0.5000 0.5000 0.7500  8 Al 2.61
3 Al 0.0000 0.0000 0.9330  4 Os 2.61, 1 Al 2.75
4 Al 0.0000 0.0000 0.5670  4 Os 2.61, 1 Al 2.75

Output
- crystal system = tetragonal
- formation energy (meV per atom) = -298
- SG = P4/mmm (123)

=====

2.
The following is a DFT calculation (PBE) of crystalline CaAlOs2 at its relaxed geometry.

Cell lengths 5.2660, 5.3596, 2.7584 Å; angles 77.19, 85.84, 118.20 degrees
Last column: nearest neighbours and their distance in Å.
Atoms (fractional coordinates):
1 Ca 0.5000 0.5000 0.0000  4 Os 2.73, 2 Ca 2.76, 2 Al 2.88
2 Os 0.0000 0.0000 0.0000  2 Al 2.73, 2 Ca 2.73, 4 Os 2.76-2.88
3 Os 0.5000 0.0000 0.5000  2 Ca 2.73, 2 Al 2.73, 4 Os 2.76-2.88
4 Al 0.0000 0.5000 0.5000  4 Os 2.73, 2 Al 2.76, 2 Ca 2.88

Output
- crystal system = monoclinic
- formation energy (meV per atom) = 412
- SG = C2/m (12)